{"formula": "ErCuNi5", "functional": "PBE-GGA", "state": "relaxed", "lattice": [[-3.6079, 2.4223, -2.0384], [-3.3174, 0.9377, 6.9859], [4.9651, 8.4273, 1.2265]], "species": ["Er", "Er", "Er", "Er", "Cu", "Cu", "Cu", "Cu", "Ni", "Ni", "Ni", "Ni", "Ni", "Ni", "Ni", "Ni", "Ni", "Ni", "Ni", "Ni", "Ni", "Ni", "Ni", "Ni", "Ni", "Ni", "Ni", "Ni"], "fractional_positions": [[0.2500, 0.2417, 0.9394], [0.7500, 0.2583, 0.4394], [0.2500, 0.7417, 0.5606], [0.7500, 0.7583, 0.0606], [0.2500, 0.8588, 0.8551], [0.7500, 0.6412, 0.3551], [0.2500, 0.3588, 0.6449], [0.7500, 0.1412, 0.1449], [0.2500, 0.6008, 0.0189], [0.7500, 0.8992, 0.5189], [0.2500, 0.1008, 0.4811], [0.7500, 0.3992, 0.9811], [0.7500, 0.3160, 0.7461], [0.2500, 0.1840, 0.2461], [0.7500, 0.8160, 0.7539], [0.2500, 0.6840, 0.2539], [0.2500, 0.9420, 0.0959], [0.7500, 0.5580, 0.5959], [0.2500, 0.4420, 0.4041], [0.7500, 0.0580, 0.9041], [0.9948, 0.4323, 0.1899], [0.0052, 0.0677, 0.6899], [0.5052, 0.9323, 0.3101], [0.4948, 0.5677, 0.8101], [0.0052, 0.5677, 0.8101], [0.9948, 0.9323, 0.3101], [0.4948, 0.0677, 0.6899], [0.5052, 0.4323, 0.1899]], "crystal_system": "orthorhombic", "formation_energy_ev_per_atom": -0.2317}

{"formula": "Li3GaMo", "functional": "PBE-GGA", "state": "relaxed", "lattice": [[-2.2248, -3.1321, 2.0357], [2.5464, -3.0052, -1.8407], [2.7331, 0.2504, 3.3721]], "species": ["Mo", "Ga", "Li", "Li", "Li"], "fractional_positions": [[0.5000, 0.5000, 0.5000], [0.0000, 0.0000, 0.0000], [0.0000, 0.5000, 0.0000], [0.0000, 0.0000, 0.5000], [0.5000, 0.0000, 0.0000]], "crystal_system": "cubic", "formation_energy_ev_per_atom": 0.9884}

{"formula": "HgSb2Pt", "functional": "PBE-GGA", "state": "relaxed", "lattice": [[0.3924, 4.4854, -2.0103], [-3.0818, 0.5899, 3.8038], [1.8890, 3.3374, 3.3649]], "species": ["Hg", "Pt", "Sb", "Sb"], "fractional_positions": [[0.5000, 0.0000, 0.5000], [0.0000, 0.5000, 0.5000], [0.0000, 0.0000, 0.0000], [0.5000, 0.5000, 0.0000]], "crystal_system": "monoclinic", "raw_formation_energy_mev_per_atom": 71}

{"formula": "Th5Bi2Ru", "functional": "PBE-GGA", "state": "relaxed", "lattice": [[-3.1552, -2.0436, 6.7839], [7.0581, -0.3075, 3.2003], [-2.2530, 5.0993, -3.9506]], "species": ["Th", "Th", "Th", "Th", "Th", "Bi", "Bi", "Ru"], "fractional_positions": [[0.7525, 0.2496, 0.0020], [0.2497, 0.2497, 0.0027], [0.7524, 0.7524, 0.0019], [0.2496, 0.7525, 0.0020], [0.7074, 0.7074, 0.4147], [0.2499, 0.7503, 0.5001], [0.7503, 0.2499, 0.5001], [0.0652, 0.0652, 0.1303]], "crystal_system": "tetragonal", "formation_energy_ev_per_atom": -0.2425}

{"formula": "CdNi", "functional": "PBE-GGA", "state": "relaxed", "lattice": [[-2.7264, 1.0126, 3.6113], [-2.3069, -0.7685, -1.5262], [-2.5549, -4.0737, 3.2130]], "species": ["Ni", "Ni", "Cd", "Cd"], "fractional_positions": [[0.4860, 0.5232, 0.9537], [0.5973, 0.2268, 0.5463], [0.9331, 0.9820, 0.0359], [0.1502, 0.7680, 0.4641]], "crystal_system": "monoclinic", "formation_energy_ev_per_atom": 0.0769}

{"formula": "Tl2Ge4Au5", "functional": "PBE-GGA", "state": "relaxed", "lattice": [[6.9166, 0.0000, 0.0000], [3.4583, 6.8854, 0.0000], [3.4583, 0.0000, 5.8555]], "species": ["Tl", "Tl", "Ge", "Ge", "Ge", "Ge", "Au", "Au", "Au", "Au", "Au"], "fractional_positions": [[0.8453, 0.0000, 0.3094], [0.1547, 0.0000, 0.6906], [0.4756, 0.3031, 0.7456], [0.5244, 0.6969, 0.2544], [0.2213, 0.3031, 0.2544], [0.7787, 0.6969, 0.7456], [0.5000, 0.0000, 0.0000], [0.0000, 0.5000, 0.0000], [0.5000, 0.5000, 0.0000], [0.2500, 0.5000, 0.5000], [0.7500, 0.5000, 0.5000]], "crystal_system": "orthorhombic", "formation_energy_ev_per_atom": 0.0403}

{"formula": "AlHCl2", "functional": "PBE-GGA", "state": "relaxed", "lattice": [[1.7968, -3.5014, 1.9296], [2.7744, 0.5276, 3.3520], [-1.2198, -1.1352, 4.0540]], "species": ["H", "Al", "Cl", "Cl"], "fractional_positions": [[0.0000, 0.0000, 0.0000], [0.5000, 0.5000, 0.5000], [0.2500, 0.2500, 0.2500], [0.7500, 0.7500, 0.7500]], "crystal_system": "cubic", "total_energy_ry_per_atom": -0.190}

{"formula": "PrEr2Ga", "functional": "PBE-GGA", "state": "relaxed", "lattice": [[4.3298, 0.0007, 0.0000], [-2.1641, 6.1019, 0.0000], [0.0000, 0.0000, 8.8034]], "species": ["Pr", "Pr", "Er", "Er", "Er", "Er", "Ga", "Ga"], "fractional_positions": [[0.9408, 0.8816, 0.2500], [0.0592, 0.1184, 0.7500], [0.3548, 0.7098, 0.5549], [0.6452, 0.2902, 0.4451], [0.3548, 0.7098, 0.9451], [0.6452, 0.2902, 0.0549], [0.7549, 0.5100, 0.7500], [0.2451, 0.4900, 0.2500]], "crystal_system": "orthorhombic", "formation_energy_ev_per_atom": -0.2487}

{"formula": "Nd2Dy5Y2", "functional": "PBE-GGA", "state": "relaxed", "lattice": [[-11.3446, -0.2358, -3.4897], [1.9432, -1.7610, -6.1982], [4.2624, -6.2150, 6.7560]], "species": ["Nd", "Nd", "Nd", "Nd", "Dy", "Dy", "Dy", "Dy", "Dy", "Dy", "Dy", "Dy", "Dy", "Dy", "Y", "Y", "Y", "Y"], "fractional_positions": [[0.0000, 0.0127, 0.0000], [0.5000, 0.5127, 0.0000], [0.2582, 0.3520, 0.5000], [0.7418, 0.8520, 0.5000], [0.2043, 0.6551, 0.8952], [0.7957, 0.7599, 0.1048], [0.1909, 0.1551, 0.8952], [0.8091, 0.2599, 0.1048], [0.3765, 0.0396, 0.2850], [0.6235, 0.7546, 0.7150], [0.4085, 0.5396, 0.2850], [0.5915, 0.2546, 0.7150], [0.0038, 0.6497, 0.5000], [0.9962, 0.1497, 0.5000], [0.1228, 0.6822, 0.2520], [0.8772, 0.4302, 0.7480], [0.6293, 0.1822, 0.2520], [0.3707, 0.9302, 0.7480]], "crystal_system": "orthorhombic", "formation_energy_ev_per_atom": 0.2059}

{"formula": "KCdAu", "functional": "PBE-GGA", "state": "relaxed", "lattice": [[5.5102, 0.0000, 0.0000], [2.7551, 4.7720, 0.0000], [2.7551, 1.5907, 4.4991]], "species": ["Au", "Cd", "K"], "fractional_positions": [[0.0000, 0.0000, 0.0000], [0.5000, 0.5000, 0.5000], [0.7500, 0.7500, 0.7500]], "crystal_system": "cubic", "formation_energy_ev_per_atom": 0.1118}

{"formula": "Cs2BaBeI6", "functional": "PBE-GGA", "state": "relaxed", "lattice": [[8.6696, 0.0000, 0.0000], [0.0000, 8.6696, 0.0000], [4.3348, 4.3348, 6.1065]], "species": ["Cs", "Cs", "I", "I", "I", "I", "I", "I", "Ba", "Be"], "fractional_positions": [[0.7500, 0.2500, 0.5000], [0.2500, 0.7500, 0.5000], [0.2773, 0.2773, 0.4454], [0.7227, 0.7227, 0.5546], [0.2761, 0.2761, 0.0000], [0.7239, 0.7239, 0.0000], [0.7239, 0.2761, 0.0000], [0.2761, 0.7239, 0.0000], [0.0000, 0.0000, 0.0000], [0.5000, 0.5000, 0.0000]], "crystal_system": "tetragonal", "raw_formation_energy_mev_per_atom": -1171}

{"formula": "Fe2TcHOs", "functional": "PBE-GGA", "state": "relaxed", "lattice": [[-3.2242, -1.3361, -1.2392], [-0.8057, -1.2138, 3.4050], [-1.6644, 3.2929, 0.7800]], "species": ["H", "Os", "Tc", "Fe", "Fe"], "fractional_positions": [[0.0000, 0.0000, 0.0000], [0.5000, 0.5000, 0.5000], [0.0000, 0.0000, 0.5000], [0.0000, 0.5000, 0.0000], [0.5000, 0.0000, 0.0000]], "crystal_system": "tetragonal", "total_energy_ry_per_atom": -0.608}